The following is a GGA-PBE calculation of crystalline Ca2Cu3Ge5 at its relaxed geometry, from Alexandria. Values from VASP.

```
&SYSTEM
  ibrav = 0, nat = 20, ntyp = 3
/
ATOMIC_SPECIES
Ge 72.64 Ge.upf
Ca 40.08 Ca.upf
Cu 63.55 Cu.upf
CELL_PARAMETERS angstrom
6.0007 0.0000 0.0000
3.0003 7.8904 -0.1247
3.0003 1.0939 7.8152
ATOMIC_POSITIONS crystal
Ge 0.9913 0.7587 0.7587
Ge 0.8888 0.9654 0.2569
Ca 0.6270 0.1307 0.6154
Ge 0.3888 0.2569 0.9654
Ge 0.6112 0.7431 0.0346
Cu 0.8681 0.7584 0.5054
Ge 0.4913 0.7587 0.7587
Ge 0.2500 0.5000 0.5000
Ca 0.3730 0.8693 0.3846
Ca 0.8730 0.3846 0.8693
Ge 0.7500 0.5000 0.5000
Ca 0.1270 0.6154 0.1307
Cu 0.7500 0.0000 0.0000
Cu 0.6319 0.4946 0.2416
Ge 0.0087 0.2413 0.2413
Cu 0.3681 0.5054 0.7584
Ge 0.1112 0.0346 0.7431
Ge 0.5087 0.2413 0.2413
Cu 0.2500 0.0000 0.0000
Cu 0.1319 0.2416 0.4946
```

Symmetry   Ibam, No. 72
Energy   -4.262 eV/atom
Formation enthalpy at 0 K   -3.24 eV/f.u.
Magnetization   0.00 μB/atom
Energy relative to the lowest polymorph listed for this composition   0.000 eV per atom